(1)
! NbPdSe2Br (PBE-GGA, relaxed); values from VASP
! Raw formation energy   0.127 eV per atom
! Energy above the most stable polymorph in this dataset   0 meV per atom
&SYSTEM
  ibrav = 0, nat = 5, ntyp = 4
/
ATOMIC_SPECIES
Nb 92.91 Nb.upf
Pd 106.42 Pd.upf
Se 78.96 Se.upf
Br 79.90 Br.upf
CELL_PARAMETERS angstrom
5.012 0.000 0.000
0.000 5.012 0.000
0.000 0.000 5.190
ATOMIC_POSITIONS angstrom
Nb 0.000 0.000 0.000
Pd 2.506 2.506 2.595
Se 0.000 2.506 0.000
Se 2.506 0.000 0.000
Br 0.000 0.000 2.595



(2)
! NbPdSeBr2 (PBE-GGA, relaxed); values from VASP
! Raw formation energy   0.116 eV per atom
! Energy above the most stable polymorph in this dataset   0 meV per atom
&SYSTEM
  ibrav = 0, nat = 5, ntyp = 4
/
ATOMIC_SPECIES
Nb 92.91 Nb.upf
Pd 106.42 Pd.upf
Se 78.96 Se.upf
Br 79.90 Br.upf
CELL_PARAMETERS angstrom
5.172 0.000 0.000
0.000 5.172 0.000
0.000 0.000 5.002
ATOMIC_POSITIONS angstrom
Nb 0.000 0.000 0.000
Pd 2.586 2.586 2.501
Se 0.000 0.000 2.501
Br 0.000 2.586 0.000
Br 2.586 0.000 0.000



(3)
! NbPdSeBr2 (PBE-GGA, relaxed); values from VASP
! Raw formation energy   0.554 eV per atom
! Energy above the most stable polymorph in this dataset   438 meV per atom
&SYSTEM
  ibrav = 0, nat = 5, ntyp = 4
/
ATOMIC_SPECIES
Nb 92.91 Nb.upf
Pd 106.42 Pd.upf
Se 78.96 Se.upf
Br 79.90 Br.upf
CELL_PARAMETERS angstrom
4.985 0.000 0.000
0.000 4.985 0.000
0.000 0.000 5.109
ATOMIC_POSITIONS angstrom
Nb 0.000 0.000 0.000
Pd 2.493 2.493 2.555
Se 2.493 2.493 0.000
Br 0.000 2.493 2.555
Br 2.493 0.000 2.555



(4)
! PrNbBr2 (PBE-GGA, relaxed); values from VASP
! Raw formation energy   -0.306 eV per atom
&SYSTEM
  ibrav = 0, nat = 12, ntyp = 3
/
ATOMIC_SPECIES
Pr 140.91 Pr.upf
Nb 92.91 Nb.upf
Br 79.90 Br.upf
CELL_PARAMETERS angstrom
3.404 0.000 0.000
-1.702 2.948 0.000
0.000 0.000 29.792
ATOMIC_POSITIONS angstrom
Pr 0.000 0.000 0.000
Pr 0.000 1.965 19.861
Pr 1.702 0.983 9.931
Nb 0.000 0.000 14.896
Nb 0.000 1.965 4.965
Nb 1.702 0.983 24.826
Br 0.000 0.000 3.082
Br 0.000 0.000 26.710
Br 0.000 1.965 16.779
Br 0.000 1.965 22.943
Br 1.702 0.983 6.848
Br 1.702 0.983 13.013



(5)
! PrNbBr (PBE-GGA, relaxed); values from VASP
! Raw formation energy   -0.603 eV per atom
&SYSTEM
  ibrav = 0, nat = 6, ntyp = 3
/
ATOMIC_SPECIES
Pr 140.91 Pr.upf
Nb 92.91 Nb.upf
Br 79.90 Br.upf
CELL_PARAMETERS angstrom
3.635 0.000 0.000
0.001 3.635 0.000
0.093 0.036 12.869
ATOMIC_POSITIONS angstrom
Pr 0.918 0.918 3.574
Pr 2.811 2.754 9.295
Nb 0.959 0.928 6.907
Nb 2.770 2.744 5.962
Br 0.992 0.936 11.117
Br 2.737 2.736 1.752



(6)
! Pr2NbBr (PBE-GGA, relaxed); values from VASP
! Raw formation energy   0.098 eV per atom
&SYSTEM
  ibrav = 0, nat = 12, ntyp = 3
/
ATOMIC_SPECIES
Pr 140.91 Pr.upf
Nb 92.91 Nb.upf
Br 79.90 Br.upf
CELL_PARAMETERS angstrom
3.384 0.000 0.000
-1.692 2.931 0.000
0.000 0.000 33.125
ATOMIC_POSITIONS angstrom
Pr 0.000 0.000 3.023
Pr 0.000 0.000 30.102
Pr 0.000 1.954 19.060
Pr 0.000 1.954 25.107
Pr 1.692 0.977 8.019
Pr 1.692 0.977 14.065
Nb 0.000 0.000 0.000
Nb 0.000 1.954 22.084
Nb 1.692 0.977 11.042
Br 0.000 0.000 16.563
Br 0.000 1.954 5.521
Br 1.692 0.977 27.605



(7)
! NbPt2Br (PBE-GGA, relaxed); values from VASP
! Raw formation energy   0.347 eV per atom
! Energy above the most stable polymorph in this dataset   96 meV per atom
&SYSTEM
  ibrav = 0, nat = 16, ntyp = 3
/
ATOMIC_SPECIES
Nb 92.91 Nb.upf
Pt 195.08 Pt.upf
Br 79.90 Br.upf
CELL_PARAMETERS angstrom
6.611 0.000 0.000
0.000 6.611 0.000
0.000 0.000 6.611
ATOMIC_POSITIONS angstrom
Nb 0.000 0.000 0.000
Nb 0.000 3.306 3.306
Nb 3.306 0.000 3.306
Nb 3.306 3.306 0.000
Pt 1.653 1.653 1.653
Pt 1.653 1.653 4.958
Pt 1.653 4.958 1.653
Pt 1.653 4.958 4.958
Pt 4.958 1.653 1.653
Pt 4.958 1.653 4.958
Pt 4.958 4.958 1.653
Pt 4.958 4.958 4.958
Br 0.000 0.000 3.306
Br 0.000 3.306 0.000
Br 3.306 0.000 0.000
Br 3.306 3.306 3.306



(8)
! NbPt2Br (PBE-GGA, relaxed); values from VASP
! Raw formation energy   0.251 eV per atom
! Energy above the most stable polymorph in this dataset   0 meV per atom
&SYSTEM
  ibrav = 0, nat = 16, ntyp = 3
/
ATOMIC_SPECIES
Nb 92.91 Nb.upf
Pt 195.08 Pt.upf
Br 79.90 Br.upf
CELL_PARAMETERS angstrom
6.684 0.000 0.000
0.000 6.684 0.000
0.000 0.000 8.607
ATOMIC_POSITIONS angstrom
Nb 0.000 0.000 0.000
Nb 0.000 3.342 2.152
Nb 3.342 0.000 6.455
Nb 3.342 3.342 4.303
Pt 1.493 5.013 1.076
Pt 1.671 1.493 7.531
Pt 1.671 1.849 3.228
Pt 1.849 5.013 5.379
Pt 4.836 1.671 5.379
Pt 5.013 4.836 3.228
Pt 5.013 5.191 7.531
Pt 5.191 1.671 1.076
Br 0.000 0.000 4.303
Br 0.000 3.342 6.455
Br 3.342 0.000 2.152
Br 3.342 3.342 0.000



Q: raw formation energy of number 1 (NbPdSe2Br)?
A: 0.127 eV per atom



Please write out number 2 again, unchanged.
! NbPdSeBr2 (PBE-GGA, relaxed); values from VASP
! Raw formation energy   0.116 eV per atom
! Energy above the most stable polymorph in this dataset   0 meV per atom
&SYSTEM
  ibrav = 0, nat = 5, ntyp = 4
/
ATOMIC_SPECIES
Nb 92.91 Nb.upf
Pd 106.42 Pd.upf
Se 78.96 Se.upf
Br 79.90 Br.upf
CELL_PARAMETERS angstrom
5.172 0.000 0.000
0.000 5.172 0.000
0.000 0.000 5.002
ATOMIC_POSITIONS angstrom
Nb 0.000 0.000 0.000
Pd 2.586 2.586 2.501
Se 0.000 0.000 2.501
Br 0.000 2.586 0.000
Br 2.586 0.000 0.000



Q: raw formation energy of number 7 (NbPt2Br)?
A: 0.347 eV per atom



Q: The highest raw formation energy belongs to which entry?
A: number 3